# 1
This record from Alexandria via LeMat-Bulk describes a geometry-optimized Tm2MgTl4 structure. The functional is PBE-GGA.

Properties
For the calculated formation energy, the calculation gives -168 meV per atom. The total magnetization comes out at 0.00 μB per formula unit. Its density of states at the Fermi level is 0.34 states/eV/atom.

a b c (Å): 7.1421 7.1421 7.6865
angles (deg): 90.00 90.00 90.00
Space group I4/mmm (No. 139)
Unique sites:
Tm: 0.0000 0.5000 0.0000 x4
Mg: 0.0000 0.0000 0.0000 x2
Tl: 0.2500 0.2500 0.2500 x8

***

# 2
This record from Alexandria via LeMat-Bulk describes a geometry-optimized TmMg3Tl2 structure. The functional is PBE-GGA.

Properties
For the calculated formation energy, the calculation gives -100 meV per atom. The total magnetization comes out at 0.00 μB per formula unit. Its density of states at the Fermi level is 0.40 states/eV/atom.

a b c (Å): 17.0129 4.7506 7.8875
angles (deg): 90.00 111.88 90.00
Space group C2/m (No. 12)
Unique sites:
Tm: 0.1134 0.0000 0.1706 x4
Mg: 0.0708 0.0000 0.7011 x4
Mg: 0.1292 0.5000 0.5011 x4
Mg: 0.1991 0.5000 0.9144 x4
Tl: 0.0180 0.5000 0.8282 x4
Tl: 0.2423 0.0000 0.6766 x4

***

# 3
This record from Alexandria via LeMat-Bulk describes a geometry-optimized Tm5MgTl6 structure. The functional is PBE-GGA.

Properties
For the calculated formation energy, the calculation gives -259 meV per atom. The total magnetization comes out at 0.00 μB per formula unit. Its density of states at the Fermi level is 0.68 states/eV/atom.

a b c (Å): 9.2174 15.8453 5.2048
angles (deg): 90.00 124.28 90.00
Space group C2/m (No. 12)
Unique sites:
Tm: 0.0000 0.0000 0.0000 x2
Tm: 0.0000 0.1695 0.5000 x4
Tm: 0.0000 0.3419 0.0000 x4
Mg: 0.0000 0.5000 0.5000 x2
Tl: 0.2481 0.0000 0.7483 x4
Tl: 0.2504 0.1655 0.2498 x8

***

# 4
This record from Alexandria via LeMat-Bulk describes a geometry-optimized Tm4Mg5Tl structure. The functional is PBE-GGA.

Properties
For the calculated formation energy, the calculation gives -115 meV per atom. The total magnetization comes out at 0.00 μB per formula unit. Its density of states at the Fermi level is 0.61 states/eV/atom.

a b c (Å): 15.5636 5.2291 6.5072
angles (deg): 90.00 105.14 90.00
Space group C2/m (No. 12)
Unique sites:
Tm: 0.1000 0.0000 0.3992 x4
Tm: 0.1969 0.5000 0.8035 x4
Mg: 0.0000 0.5000 0.0000 x2
Mg: 0.0989 0.0000 0.9167 x4
Mg: 0.1998 0.5000 0.2969 x4
Tl: 0.0000 0.5000 0.5000 x2

***

# 5
This record from Alexandria via LeMat-Bulk describes a geometry-optimized Tm2Mg3Tl3 structure. The functional is PBE-GGA.

Properties
For the calculated formation energy, the calculation gives -199 meV per atom. The total magnetization comes out at 0.00 μB per formula unit. Its density of states at the Fermi level is 0.56 states/eV/atom.

a b c (Å): 4.7639 4.8399 8.5739
angles (deg): 90.00 90.00 90.00
Space group Pmmm (No. 47)
Unique sites:
Tm: 0.0000 0.0000 0.2469 x2
Mg: 0.0000 0.5000 0.5000 x1
Mg: 0.5000 0.5000 0.2530 x2
Tl: 0.0000 0.5000 0.0000 x1
Tl: 0.5000 0.0000 0.0000 x1
Tl: 0.5000 0.0000 0.5000 x1

***

# 6
This record from Alexandria via LeMat-Bulk describes a geometry-optimized TmMg3Tl structure. The functional is PBE-GGA.

Properties
For the calculated formation energy, the calculation gives 31 meV per atom. The total magnetization comes out at 0.00 μB per formula unit. Its density of states at the Fermi level is 0.45 states/eV/atom. The calculation puts the offset from the most stable computed form at 0.000 eV/atom.

a b c (Å): 4.8704 5.0011 11.5472
angles (deg): 102.40 101.52 90.54
Space group P-1 (No. 2)
Unique sites:
Tm: 0.1599 0.1544 0.3120 x2
Mg: 0.0000 0.0000 0.0000 x1
Mg: 0.2500 0.7507 0.5014 x2
Mg: 0.3324 0.3354 0.6690 x2
Mg: 0.5000 0.5000 0.0000 x1
Tl: 0.0809 0.5775 0.1589 x2

***

# 7
This record from Alexandria via LeMat-Bulk describes a geometry-optimized TmMg4Tl structure. The functional is PBE-GGA.

Properties
For the calculated formation energy, the calculation gives -70 meV per atom. The total magnetization comes out at 0.00 μB per formula unit. Its density of states at the Fermi level is 0.48 states/eV/atom. The calculation puts the offset from the most stable computed form at 0.000 eV/atom.

a b c (Å): 10.0583 3.3556 8.7282
angles (deg): 90.00 90.00 90.00
Space group Pmma (No. 51)
Unique sites:
Tm: 0.2500 0.0000 0.0454 x2
Mg: 0.0000 0.0000 0.5000 x2
Mg: 0.0138 0.5000 0.8247 x4
Mg: 0.2500 0.5000 0.3738 x2
Tl: 0.2500 0.0000 0.6882 x2

***

# 8
This record from Alexandria via LeMat-Bulk describes a geometry-optimized Tm4MgTl5 structure. The functional is PBE-GGA.

Properties
For the calculated formation energy, the calculation gives -238 meV per atom. The total magnetization comes out at 0.00 μB per formula unit. Its density of states at the Fermi level is 0.60 states/eV/atom.

a b c (Å): 3.6862 3.6862 19.1379
angles (deg): 90.00 90.00 90.00
Space group P4/mmm (No. 123)
Unique sites:
Tm: 0.0000 0.0000 0.1026 x2
Tm: 0.0000 0.0000 0.3080 x2
Mg: 0.0000 0.0000 0.5000 x1
Tl: 0.5000 0.5000 0.0000 x1
Tl: 0.5000 0.5000 0.2037 x2
Tl: 0.5000 0.5000 0.4081 x2